No. 1
A relaxed structure of CdFePO2. Source: Alexandria, functional PBE+U.

Mass density in Mg/m³: 5.6
E above lowest polymorph in eV per atom: 0.174
Calculated total energy in eV per atom: -4.4722
Total magnetic moment in μB per atom: 0.668

CIF file:
```
data_CdFePO2
_chemical_formula_sum 'Cd1 Fe1 P1 O2'
_space_group_name_H-M_alt 'P 4/m m m'
_space_group_IT_number 123
_space_group_name_Hall '-P 4 2'
_cell_length_a 3.689
_cell_length_b 3.689
_cell_length_c 5.075
_cell_angle_alpha 90.00
_cell_angle_beta 90.00
_cell_angle_gamma 90.00
loop_
_atom_site_label
_atom_site_type_symbol
_atom_site_fract_x
_atom_site_fract_y
_atom_site_fract_z
Cd1 Cd 0.000 0.000 0.000
Fe1 Fe 0.500 0.500 0.000
P1 P 0.500 0.500 0.500
O1 O 0.000 0.500 0.500
```

No. 2
A relaxed structure of CdFe2Sb2P6O24. Source: Alexandria, functional PBE+U.

Mass density in Mg/m³: 3.7
Calculated total energy in eV per atom: -6.8192
Total magnetic moment in μB per atom: 0.283

CIF file:
```
data_CdFe2Sb2P6O24
_chemical_formula_sum 'Cd3 Fe6 Sb6 P18 O72'
_space_group_name_H-M_alt 'R -3'
_space_group_IT_number 148
_space_group_name_Hall '-R 3'
_cell_length_a 8.4654
_cell_length_b 8.4654
_cell_length_c 22.2895
_cell_angle_alpha 90.00
_cell_angle_beta 90.00
_cell_angle_gamma 120.00
loop_
_atom_site_label
_atom_site_type_symbol
_atom_site_fract_x
_atom_site_fract_y
_atom_site_fract_z
Cd1 Cd 0.0000 0.0000 0.0000
Fe1 Fe 0.0000 0.0000 0.1469
Sb1 Sb 0.0000 0.0000 0.3536
P1 P 0.0046 0.2924 0.7495
O1 O 0.0031 0.8043 0.1927
O2 O 0.0234 0.1914 0.0832
O3 O 0.0735 0.2226 0.6954
O4 O 0.0789 0.2181 0.4048
```

No. 3
A relaxed structure of CdFeSnP3O12. Source: Alexandria, functional PBE+U.

Mass density in Mg/m³: 3.9
Calculated total energy in eV per atom: -6.7448
Total magnetic moment in μB per atom: 0.281

CIF file:
```
data_CdFeSnP3O12
_chemical_formula_sum 'Cd6 Fe6 Sn6 P18 O72'
_space_group_name_H-M_alt 'R 3 c'
_space_group_IT_number 161
_space_group_name_Hall 'R 3 -2"c'
_cell_length_a 8.7255
_cell_length_b 8.7255
_cell_length_c 21.9764
_cell_angle_alpha 90.00
_cell_angle_beta 90.00
_cell_angle_gamma 120.00
loop_
_atom_site_label
_atom_site_type_symbol
_atom_site_fract_x
_atom_site_fract_y
_atom_site_fract_z
Cd1 Cd 0.0000 0.0000 0.0000
Fe1 Fe 0.0000 0.0000 0.3556
Sn1 Sn 0.0000 0.0000 0.1490
P1 P 0.0415 0.3727 0.4201
O1 O 0.0117 0.2082 0.6933
O2 O 0.0220 0.1864 0.4203
O3 O 0.1415 0.4716 0.4768
O4 O 0.1663 0.4826 0.7510
```

No. 4
A relaxed structure of PaCdFeO6. Source: Alexandria, functional PBE+U.

Mass density in Mg/m³: 6.9
Calculated total energy in eV per atom: -6.8949
Total magnetic moment in μB per atom: 0.330

CIF file:
```
data_PaCdFeO6
_chemical_formula_sum 'Pa1 Cd1 Fe1 O6'
_space_group_name_H-M_alt 'P 3 1 2'
_space_group_IT_number 149
_cell_length_a 5.3858
_cell_length_b 5.3858
_cell_length_c 4.7470
_cell_angle_alpha 90.00
_cell_angle_beta 90.00
_cell_angle_gamma 120.00
loop_
_space_group_symop_operation_xyz
'x,y,z'
'-y,x-y,z'
'-x+y,-x,z'
'-y,-x,-z'
'-x+y,y,-z'
'x,x-y,-z'
loop_
_atom_site_label
_atom_site_type_symbol
_atom_site_fract_x
_atom_site_fract_y
_atom_site_fract_z
Pa1 Pa 0.0000 0.0000 0.0000
Cd1 Cd 0.3333 0.6667 0.5000
Fe1 Fe 0.6667 0.3333 0.5000
O1 O 0.3502 0.0388 0.7390
```

No. 5
A relaxed structure of Pa2CdFeO8. Source: Alexandria, functional PBE+U.

Mass density in Mg/m³: 8.0
Calculated total energy in eV per atom: -7.9165
Total magnetic moment in μB per atom: 0.335

CIF file:
```
data_Pa2CdFeO8
_chemical_formula_sum 'Pa4 Cd2 Fe2 O16'
_space_group_name_H-M_alt 'I -4'
_space_group_IT_number 82
_cell_length_a 5.376
_cell_length_b 5.376
_cell_length_c 10.877
_cell_angle_alpha 90.00
_cell_angle_beta 90.00
_cell_angle_gamma 90.00
loop_
_space_group_symop_operation_xyz
'x,y,z'
'y,-x,-z'
'-x,-y,z'
'-y,x,-z'
'x+1/2,y+1/2,z+1/2'
'y+1/2,-x+1/2,-z+1/2'
'-x+1/2,-y+1/2,z+1/2'
'-y+1/2,x+1/2,-z+1/2'
loop_
_atom_site_label
_atom_site_type_symbol
_atom_site_fract_x
_atom_site_fract_y
_atom_site_fract_z
Pa1 Pa 0.000 0.000 0.000
Pa2 Pa 0.000 0.500 0.250
Cd1 Cd 0.000 0.000 0.500
Fe1 Fe 0.000 0.500 0.750
O1 O 0.186 0.249 0.836
O2 O 0.193 0.304 0.094
```

No. 6
A relaxed structure of PaCdFe2O6. Source: Alexandria, functional PBE+U.

Mass density in Mg/m³: 7.3
Calculated total energy in eV per atom: -7.0451
Total magnetic moment in μB per atom: 0.500

CIF file:
```
data_PaCdFe2O6
_chemical_formula_sum 'Pa1 Cd1 Fe2 O6'
_space_group_name_H-M_alt 'P 1'
_space_group_IT_number 1
_cell_length_a 5.439
_cell_length_b 5.458
_cell_length_c 5.727
_cell_angle_alpha 91.24
_cell_angle_beta 117.12
_cell_angle_gamma 119.48
loop_
_space_group_symop_operation_xyz
'x,y,z'
loop_
_atom_site_label
_atom_site_type_symbol
_atom_site_fract_x
_atom_site_fract_y
_atom_site_fract_z
Pa1 Pa 0.000 0.000 0.000
Cd1 Cd 0.965 0.484 0.449
Fe1 Fe 0.393 0.695 0.088
Fe2 Fe 0.426 0.210 0.633
O1 O 0.254 0.327 0.833
O2 O 0.257 0.432 0.300
O3 O 0.472 0.049 0.308
O4 O 0.508 0.918 0.840
O5 O 0.867 0.824 0.298
O6 O 0.923 0.584 0.839
```